{"formula": "Ce2SmTh3As6", "functional": "PBE", "state": "relaxed", "cell": [[9.233, -2.120, 0.000], [9.233, 2.120, 0.000], [-1.933, 0.000, 8.249]], "species": ["Ce", "Ce", "Sm", "Th", "Th", "Th", "As", "As", "As", "As", "As", "As"], "fractional_positions": [[0.166, 0.166, 0.333], [0.834, 0.834, 0.667], [0.500, 0.500, 0.000], [0.166, 0.166, 0.834], [0.500, 0.500, 0.500], [0.834, 0.834, 0.166], [0.001, 0.001, 0.250], [0.333, 0.333, 0.418], [0.334, 0.334, 0.915], [0.666, 0.666, 0.085], [0.667, 0.667, 0.582], [0.999, 0.999, 0.750]], "delta_e_f_kj_per_mol_atoms": -139.4, "spacegroup": "C2/m, No. 12"}